# 1
# AsC3I, optimized geometry, DFT PBE
# raw total energy = -16.62 eV per cell
# relative energy among the computed polymorphs = 671 meV per atom
# formation energy (no corrections) = 3.450 eV/atom
data_AsC3I
_chemical_formula_sum 'As1 C3 I1'
_space_group_name_H-M_alt 'P m -3 m'
_space_group_IT_number 221
_space_group_name_Hall '-P 4 2 3'
_cell_length_a 4.1590
_cell_length_b 4.1590
_cell_length_c 4.1590
_cell_angle_alpha 90.00
_cell_angle_beta 90.00
_cell_angle_gamma 90.00
loop_
_atom_site_label
_atom_site_fract_x
_atom_site_fract_y
_atom_site_fract_z
As1 0.0000 0.0000 0.0000
C1 0.0000 0.5000 0.5000
I1 0.5000 0.5000 0.5000

---

# 2
# AsCI, optimized geometry, DFT PBE
# raw total energy = -24.35 eV per cell
# relative energy among the computed polymorphs = 121 meV per atom
# formation energy (no corrections) = 1.083 eV/atom
data_AsCI
_chemical_formula_sum 'As2 C2 I2'
_space_group_name_H-M_alt 'C 1 m 1'
_space_group_IT_number 8
_cell_length_a 5.2073
_cell_length_b 3.7796
_cell_length_c 7.4742
_cell_angle_alpha 90.00
_cell_angle_beta 90.25
_cell_angle_gamma 90.00
loop_
_space_group_symop_operation_xyz
'x,y,z'
'x,-y,z'
'x+1/2,y+1/2,z'
'x+1/2,-y+1/2,z'
loop_
_atom_site_label
_atom_site_fract_x
_atom_site_fract_y
_atom_site_fract_z
As1 0.0000 0.0000 0.0000
C1 0.3650 0.0000 0.9997
I1 0.4242 0.5000 0.4990

---

# 3
# AsCI, optimized geometry, DFT PBE
# raw total energy = -23.96 eV per cell
# relative energy among the computed polymorphs = 185 meV per atom
# formation energy (no corrections) = 1.147 eV/atom
data_AsCI
_chemical_formula_sum 'As2 C2 I2'
_space_group_name_H-M_alt 'C 1 m 1'
_space_group_IT_number 8
_cell_length_a 6.1216
_cell_length_b 7.3240
_cell_length_c 6.3332
_cell_angle_alpha 90.00
_cell_angle_beta 92.43
_cell_angle_gamma 90.00
loop_
_space_group_symop_operation_xyz
'x,y,z'
'x,-y,z'
'x+1/2,y+1/2,z'
'x+1/2,-y+1/2,z'
loop_
_atom_site_label
_atom_site_fract_x
_atom_site_fract_y
_atom_site_fract_z
As1 0.0000 0.0000 0.0000
C1 0.3240 0.5000 0.1975
I1 0.1206 0.5000 0.4348

---

# 4
# AsCI3, optimized geometry, DFT PBE
# raw total energy = -11.69 eV per cell
# relative energy among the computed polymorphs = 0 meV per atom
# formation energy (no corrections) = 1.367 eV/atom
data_AsCI3
_chemical_formula_sum 'As1 C1 I3'
_space_group_name_H-M_alt 'P m -3 m'
_space_group_IT_number 221
_space_group_name_Hall '-P 4 2 3'
_cell_length_a 5.0376
_cell_length_b 5.0376
_cell_length_c 5.0376
_cell_angle_alpha 90.00
_cell_angle_beta 90.00
_cell_angle_gamma 90.00
loop_
_atom_site_label
_atom_site_fract_x
_atom_site_fract_y
_atom_site_fract_z
As1 0.0000 0.0000 0.0000
C1 0.5000 0.5000 0.5000
I1 0.0000 0.5000 0.5000